Material: Zr2ScSiN
Method: DFT, PBE-GGA
State: optimized geometry

Computed properties:
Electronic total energy ... -32.8 eV for the cell shown
ρ ... 4.31 Mg/m³
Raw formation energy ... 881.0 meV per atom
Offset from the most stable computed form ... 0.0000 eV/atom
SG ... P4/mmm

Cell and atoms, written as extended XYZ:
```
5
Lattice="5.1769 0.0000 0.0000 0.0000 5.1769 0.0000 0.0000 0.0000 3.8763" Properties=species:S:1:pos:R:3 pbc="T T T"
Zr 0.0000 2.5884 0.0000
Zr 2.5884 0.0000 0.0000
Sc 0.0000 0.0000 0.0000
Si 2.5884 2.5884 1.9382
N 0.0000 0.0000 1.9382
```


Material: SmSc2N
Method: DFT, PBE-GGA
State: optimized geometry

Computed properties:
Electronic total energy ... -28.9 eV for the cell shown
ρ ... 5.12 Mg/m³
Raw formation energy ... -805.1 meV per atom
Offset from the most stable computed form ... 0.0000 eV/atom
SG ... R-3m

Cell and atoms, written as extended XYZ:
```
4
Lattice="1.6253 0.9384 9.0118 -1.6253 0.9384 9.0118 0.0000 -1.8768 9.0118" Properties=species:S:1:pos:R:3 pbc="T T T"
Sm 0.0000 0.0000 0.0000
Sc 0.0000 0.0000 3.3033
Sc 0.0000 0.0000 23.7322
N 0.0000 0.0000 13.5178
```